# 1
Below is a relaxed structure of Ca3TlAu2, with properties calculated at the PBE level.

Calculated values
total magnetization = 0.000 μB/atom
DFT formation energy = -0.665 eV per atom
total energy = -3.1524 eV/atom
space-group type = P4/mmm (123)

Geometry as POSCAR:
```
Ca3TlAu2
1.0
3.623 0.000 0.000
0.000 3.623 0.000
0.000 0.000 11.848
Ca Tl Au
3 1 2
direct
0.000 0.000 0.000
0.000 0.000 0.308
0.000 0.000 0.692
0.500 0.500 0.500
0.500 0.500 0.157
0.500 0.500 0.843
```

# 2
Below is a relaxed structure of Ta5Mo4Ru, with properties calculated at the PBE level.

Calculated values
total magnetization = 0.000 μB/atom
DFT formation energy = -0.264 eV per atom
total energy = -11.4504 eV/atom
space-group type = P4/mmm (123)

Geometry as POSCAR:
```
Ta5Mo4Ru
1.0
3.217 0.000 0.000
0.000 3.217 0.000
0.000 0.000 16.124
Ta Mo Ru
5 4 1
direct
0.000 0.000 0.000
0.000 0.000 0.202
0.000 0.000 0.400
0.000 0.000 0.600
0.000 0.000 0.798
0.500 0.500 0.100
0.500 0.500 0.302
0.500 0.500 0.698
0.500 0.500 0.900
0.500 0.500 0.500
```

# 3
Below is a relaxed structure of Ho2ScZn4, with properties calculated at the PBE level.

Calculated values
total magnetization = 0.000 μB/atom
DFT formation energy = -0.124 eV per atom
total energy = -3.0643 eV/atom
space-group type = R-3m (166)

Geometry as POSCAR:
```
Ho2ScZn4
1.0
2.387 1.378 8.064
-2.387 1.378 8.064
0.000 -2.757 8.064
Ho Sc Zn
2 1 4
direct
0.246 0.246 0.246
0.754 0.754 0.754
0.000 0.000 0.000
0.125 0.125 0.125
0.371 0.371 0.371
0.629 0.629 0.629
0.875 0.875 0.875
```

# 4
Below is a relaxed structure of Pr3Ho3Tm4, with properties calculated at the PBE level.

Calculated values
total magnetization = 0.000 μB/atom
DFT formation energy = 0.098 eV per atom
total energy = -4.4980 eV/atom
space-group type = Amm2 (38)

Geometry as POSCAR:
```
Pr3Ho3Tm4
1.0
3.666 0.000 0.000
0.000 6.657 6.698
0.000 -6.657 6.698
Pr Ho Tm
3 3 4
direct
0.000 0.000 0.000
0.000 0.498 0.848
0.000 0.848 0.498
0.000 0.348 0.348
0.500 0.176 0.667
0.500 0.667 0.176
0.500 0.054 0.300
0.500 0.300 0.054
0.500 0.548 0.548
0.500 0.798 0.798
```

> Look up the total energy of the second one.

-11.4504 eV/atom

> total magnetization of number 2 (Ta5Mo4Ru)?

0.000 μB/atom